Compound: TiVAgO5
Source: the Alexandria database
Functional: GGA+U
Structure: relaxed

Values from the calculation:
VASP energy ... -7.304 eV per atom
Size of the total moment ... 0.00 μB/f.u.

Cell and atoms, written as POSCAR:
```
TiVAgO5
1.0
3.628 -4.442 0.000
3.628 4.442 0.000
-3.080 0.000 6.698
Ti V Ag O
2 2 2 10
Cartesian
0.000 0.000 0.000
-1.540 0.000 3.349
1.319 1.480 5.024
2.858 -1.480 1.675
2.858 1.630 1.675
1.319 -1.630 5.024
2.858 3.961 1.675
0.351 2.525 6.029
0.281 0.468 4.042
2.286 2.525 4.018
1.821 -0.468 0.692
2.356 0.468 6.006
1.891 -2.525 2.680
3.896 -0.468 2.657
3.826 -2.525 0.669
1.319 -3.961 5.024
```

***

Compound: TiV2AgO8
Source: the Alexandria database
Functional: GGA+U
Structure: relaxed

Values from the calculation:
VASP energy ... -7.101 eV per atom
Size of the total moment ... 0.83 μB/f.u.

Cell and atoms, written as POSCAR:
```
TiV2AgO8
1.0
-3.392 3.392 3.119
3.392 -3.392 3.119
3.392 3.392 -3.119
Ti V Ag O
1 2 1 8
Cartesian
0.000 0.000 0.000
3.392 0.000 1.560
0.000 0.000 3.119
0.000 3.392 1.560
1.932 0.000 0.591
4.852 0.000 0.591
3.392 2.134 -1.214
3.392 -1.460 2.529
0.000 1.258 1.906
3.392 1.460 2.529
2.134 3.392 1.214
1.258 0.000 4.333
```

***

Compound: Ti2AgWO8
Source: the Alexandria database
Functional: GGA+U
Structure: relaxed

Values from the calculation:
VASP energy ... -7.553 eV per atom
Size of the total moment ... 0.00 μB/f.u.

Cell and atoms, written as POSCAR:
```
Ti2AgWO8
1.0
3.342 -3.340 0.000
3.342 3.340 0.000
-0.200 0.000 6.285
Ti Ag W O
2 1 1 8
Cartesian
-0.033 0.000 1.629
6.516 0.000 4.656
3.242 0.000 3.143
3.342 0.000 0.000
3.242 2.150 3.143
3.342 1.970 0.000
1.717 0.000 4.996
1.949 0.000 1.391
4.535 0.000 4.894
4.767 0.000 1.290
3.342 -1.970 0.000
3.242 -2.150 3.143
```

***

- Among the records above, which one has the highest size of the total moment?
  TiV2AgO8